No. 1
{"formula": "ReTePt2", "functional": "GGA-PBE", "state": "optimized geometry", "spacegroup": "No. 71", "energy_ev_per_atom": -6.45, "magmom_total_mub_per_fu": 0.0, "lattice": [[-5.448, -1.121, 0.334], [-2.208, -3.873, -3.342], [3.610, 1.304, 4.039]], "species": ["Pt", "Pt", "Re", "Te"], "frac_coords": [[0.998, 0.998, 0.000], [0.502, 0.502, 0.000], [0.750, 0.250, 0.500], [0.250, 0.750, 0.500]]}


No. 2
{"formula": "Re2TePt", "functional": "GGA-PBE", "state": "optimized geometry", "spacegroup": "No. 99", "energy_ev_per_atom": -8.17, "magmom_total_mub_per_fu": 0.0, "lattice": [[2.901, 0.596, 0.000], [-0.596, 2.901, 0.000], [0.000, 0.000, 7.971]], "species": ["Pt", "Re", "Re", "Te"], "frac_coords": [[0.500, 0.500, 0.783], [0.000, 0.000, 0.018], [0.500, 0.500, 0.227], [0.000, 0.000, 0.473]]}